Hf2BeCo2 after structural relaxation, computed with GGA-PBE.

Lattice parameters (Å, degrees): 3.605 4.980 4.980 62.81 68.83 68.83
Positions (direct):
Be: 0.500 0.500 0.000
Co: 0.000 0.756 0.744
Co: 0.000 0.244 0.256
Hf: 0.701 0.799 0.299
Hf: 0.299 0.201 0.701

Computed properties:
Polymorph energy (0 for the lowest one) ... 0.0 meV/atom
Fermi-level density of states ... 4.32 states/eV/cell
Space-group type ... Immm, No. 71
E_tot ... -39.807 eV for the cell shown
ΔH_f (0 K) ... -0.392 eV/atom


HfBe2Co after structural relaxation, computed with GGA-PBE.

Lattice parameters (Å, degrees): 2.831 2.831 5.916 90.00 90.00 90.00
Site moments in Bohr magnetons follow the coordinates.
Positions (direct):
Hf: 0.500 0.500 0.500  0.04
Be: 0.000 0.000 0.183  -0.01
Be: 0.000 0.000 0.817  -0.01
Co: 0.500 0.500 0.000  0.34

Computed properties:
Polymorph energy (0 for the lowest one) ... 29.4 meV/atom
Fermi-level density of states ... 2.71 states/eV/cell
Space-group type ... P4/mmm, No. 123
E_tot ... -25.044 eV for the cell shown
ΔH_f (0 K) ... -0.133 eV/atom


Hf3Be2Co5 after structural relaxation, computed with GGA-PBE.

Lattice parameters (Å, degrees): 3.200 8.908 8.908 90.00 90.00 90.00
Positions (direct):
Co: 0.500 0.000 0.500
Co: 0.500 0.570 0.721
Co: 0.500 0.430 0.279
Co: 0.500 0.279 0.570
Co: 0.500 0.500 0.000
Co: 0.500 0.070 0.779
Co: 0.500 0.221 0.070
Co: 0.500 0.721 0.430
Co: 0.500 0.779 0.930
Co: 0.500 0.930 0.221
Be: 0.000 0.617 0.883
Be: 0.000 0.383 0.117
Be: 0.000 0.117 0.617
Be: 0.000 0.883 0.383
Hf: 0.000 0.175 0.325
Hf: 0.000 0.000 0.000
Hf: 0.000 0.325 0.825
Hf: 0.000 0.675 0.175
Hf: 0.000 0.500 0.500
Hf: 0.000 0.825 0.675

Computed properties:
Fermi-level density of states ... 9.97 states/eV/cell
Space-group type ... P4/mbm, No. 127
E_tot ... -155.139 eV for the cell shown
ΔH_f (0 K) ... -0.473 eV/atom


HfBe3Co after structural relaxation, computed with GGA-PBE.

Lattice parameters (Å, degrees): 4.601 4.601 4.601 90.00 90.00 90.00
Site moments in Bohr magnetons follow the coordinates.
Positions (direct):
Hf: 0.000 0.000 0.000  0.03
Be: 0.000 0.000 0.500  -0.01
Be: 0.000 0.500 0.000  -0.01
Be: 0.500 0.000 0.000  0.03
Co: 0.500 0.500 0.500  2.12

Computed properties:
Polymorph energy (0 for the lowest one) ... 2165.8 meV/atom
Fermi-level density of states ... 7.39 states/eV/cell
Space-group type ... Pm-3m, No. 221
E_tot ... -17.441 eV for the cell shown
ΔH_f (0 K) ... 2.159 eV/atom


HfBe6Co2 after structural relaxation, computed with GGA-PBE.

Lattice parameters (Å, degrees): 3.047 6.142 6.142 57.56 75.64 75.64
Positions (direct):
Be: 0.500 0.339 0.661
Be: 0.500 0.661 0.339
Be: 0.684 0.019 0.613
Be: 0.684 0.613 0.019
Be: 0.316 0.981 0.387
Be: 0.316 0.387 0.981
Co: 0.869 0.631 0.631
Co: 0.131 0.369 0.369
Hf: 0.000 0.000 0.000

Computed properties:
Fermi-level density of states ... 4.32 states/eV/cell
Space-group type ... Immm, No. 71
E_tot ... -47.148 eV for the cell shown
ΔH_f (0 K) ... -0.069 eV/atom


Hf2BeCo2 after structural relaxation, computed with GGA-PBE.

Lattice parameters (Å, degrees): 5.119 5.353 6.583 113.99 112.88 90.00
Positions (direct):
Hf: 0.636 0.967 0.272
Hf: 0.364 0.033 0.728
Hf: 0.864 0.695 0.728
Hf: 0.136 0.305 0.272
Be: 0.250 0.500 0.000
Be: 0.750 0.500 0.000
Co: 0.369 0.549 0.738
Co: 0.631 0.451 0.262
Co: 0.869 0.189 0.738
Co: 0.131 0.811 0.262

Computed properties:
Polymorph energy (0 for the lowest one) ... 225.9 meV/atom
Fermi-level density of states ... 5.74 states/eV/cell
Space-group type ... Ibam, No. 72
E_tot ... -77.355 eV for the cell shown
ΔH_f (0 K) ... -0.167 eV/atom